1.
The following is a PBE calculation of an optimized crystal structure of SiGe3C, from the Alexandria database.

VASP energy ... -23.3 eV/cell
E_form (uncorrected) ... 1042 meV/atom
SG ... No. 221

extended XYZ file:
```
5
Lattice="4.3435 0.0000 0.0000 0.0000 4.3435 0.0000 0.0000 0.0000 4.3435" Properties=species:S:1:pos:R:3 pbc="T T T"
Si 0.0000 0.0000 0.0000
Ge 0.0000 2.1717 2.1717
Ge 2.1717 0.0000 2.1717
Ge 2.1717 2.1717 0.0000
C 2.1717 2.1717 2.1717
```

2.
The following is a PBE calculation of an optimized crystal structure of Y6ErIn3, from the Alexandria database.

VASP energy ... -108.9 eV/cell
Formation enthalpy at 0 K ... -0.29 eV/atom
SG ... No. 11

extended XYZ file:
```
20
Lattice="10.0805 0.0000 0.0000 0.0000 5.2171 0.0000 -2.5744 0.0000 11.1187" Properties=species:S:1:pos:R:3 pbc="T T T"
Y -0.4541 1.3043 4.5432
Y 1.0440 3.9128 2.0331
Y -0.2303 1.3043 11.0054
Y 1.0843 3.9128 8.7207
Y 3.0468 1.3043 3.3105
Y 2.4093 1.3043 6.7164
Y 5.0969 3.9128 4.4023
Y 4.4593 3.9128 7.8082
Y 6.4219 1.3043 2.3979
Y 7.7365 3.9128 0.1133
Y 6.4621 1.3043 9.0856
Y 7.9603 3.9128 6.5754
Er 4.3888 3.9128 1.0633
Er 3.1174 1.3043 10.0554
In -1.9323 3.9128 9.8826
In -0.6169 1.3043 7.7915
In 1.6456 3.9128 5.1683
In 5.8605 1.3043 5.9503
In 8.1230 3.9128 3.3272
In 9.4384 1.3043 1.2361
```

3.
The following is a PBE calculation of an optimized crystal structure of CaSm2Zn3, from the Alexandria database.

VASP energy ... -17.1 eV/cell
Formation enthalpy at 0 K ... -0.30 eV/atom
SG ... No. 123

extended XYZ file:
```
6
Lattice="3.6420 0.0000 0.0000 0.0000 3.6420 0.0000 0.0000 0.0000 11.0563" Properties=species:S:1:pos:R:3 pbc="T T T"
Ca 0.0000 0.0000 0.0000
Sm 0.0000 0.0000 3.7238
Sm 0.0000 0.0000 7.3325
Zn 1.8210 1.8210 1.9382
Zn 1.8210 1.8210 5.5281
Zn 1.8210 1.8210 9.1181
```

4.
The following is a PBE calculation of an optimized crystal structure of AcPr7Er12, from the Alexandria database.

VASP energy ... -80.1 eV/cell
Formation enthalpy at 0 K ... 0.61 eV/atom
SG ... No. 229

extended XYZ file:
```
20
Lattice="-5.6757 5.6757 5.6757 5.6757 -5.6757 5.6757 5.6757 5.6757 -5.6757" Properties=species:S:1:pos:R:3 pbc="T T T"
Ac 0.0000 0.0000 0.0000
Pr 2.8379 2.8379 -2.8379
Pr 2.8379 -2.8379 2.8379
Pr 5.6757 0.0000 0.0000
Pr -2.8379 2.8379 2.8379
Pr 0.0000 5.6757 0.0000
Pr 0.0000 0.0000 5.6757
Pr 2.8379 2.8379 2.8379
Er 5.6757 2.7957 -2.7957
Er 5.6757 -2.7957 2.7957
Er 2.7957 5.6757 -2.7957
Er 2.8800 2.8800 0.0000
Er 2.8800 0.0000 2.8800
Er 2.7957 -2.7957 5.6757
Er 5.6757 2.7957 2.7957
Er 0.0000 2.8800 2.8800
Er -2.7957 5.6757 2.7957
Er -2.7957 2.7957 5.6757
Er 2.7957 5.6757 2.7957
Er 2.7957 2.7957 5.6757
```

5.
The following is a PBE calculation of an optimized crystal structure of Rb2TiAlTe4, from the Alexandria database.

VASP energy ... -64.7 eV/cell
E_form (uncorrected) ... -779 meV/atom
SG ... No. 70

extended XYZ file:
```
16
Lattice="0.0000 7.5275 13.3789 3.2432 0.0000 13.3789 3.2432 7.5275 0.0000" Properties=species:S:1:pos:R:3 pbc="T T T"
Rb 2.4324 5.6457 1.5011
Rb 4.0540 9.4094 8.1905
Rb 2.4324 5.6457 18.5673
Rb 4.0540 9.4094 25.2568
Ti 0.8108 1.8819 3.3447
Ti 5.6756 13.1732 23.4131
Al 2.4324 5.6457 10.0342
Al 4.0540 9.4094 16.7237
Te 2.4658 3.4044 4.8178
Te 4.0206 7.1682 11.5072
Te 2.3990 7.8869 4.8178
Te 2.3990 3.4044 15.2506
Te 4.0874 11.6506 11.5072
Te 4.0874 7.1682 21.9401
Te 2.4658 7.8869 15.2506
Te 4.0206 11.6506 21.9401
```

6.
The following is a PBE calculation of an optimized crystal structure of Zr2PbBr, from the Alexandria database.

VASP energy ... -23.7 eV/cell
E_form (uncorrected) ... -302 meV/atom
SG ... No. 99

extended XYZ file:
```
4
Lattice="3.7162 0.0000 0.0000 0.0000 3.7162 0.0000 0.0000 0.0000 7.1182" Properties=species:S:1:pos:R:3 pbc="T T T"
Zr 0.0000 0.0000 0.0000
Zr 1.8581 1.8581 1.7571
Pb 1.8581 1.8581 5.5402
Br 0.0000 0.0000 2.9254
```

7.
The following is a PBE calculation of an optimized crystal structure of Tb4Tl2InAg, from the Alexandria database.

VASP energy ... -31.7 eV/cell
Formation enthalpy at 0 K ... -0.36 eV/atom
SG ... No. 166

extended XYZ file:
```
8
Lattice="2.6588 1.5351 8.7338 -2.6588 1.5351 8.7338 0.0000 -3.0702 8.7338" Properties=species:S:1:pos:R:3 pbc="T T T"
Tb 0.0000 0.0000 3.2158
Tb 0.0000 0.0000 9.7783
Tb 0.0000 0.0000 16.4232
Tb 0.0000 0.0000 22.9856
Tl 0.0000 0.0000 6.5913
Tl 0.0000 0.0000 19.6101
In 0.0000 0.0000 13.1007
Ag 0.0000 0.0000 0.0000
```

8.
The following is a PBE calculation of an optimized crystal structure of RbB2Sb, from the Alexandria database.

VASP energy ... -52.2 eV/cell
E_form (uncorrected) ... 1346 meV/atom
SG ... No. 122

extended XYZ file:
```
16
Lattice="6.8378 0.0000 0.0000 0.0000 6.8378 0.0000 0.0000 0.0000 9.4293" Properties=species:S:1:pos:R:3 pbc="T T T"
Rb 0.0000 0.0000 0.0000
Rb 0.0000 3.4189 2.3573
Rb 3.4189 0.0000 7.0720
Rb 3.4189 3.4189 4.7146
B 0.9170 5.1283 5.8933
B 1.7094 0.9170 3.5360
B 1.7094 2.5019 8.2506
B 2.5019 5.1283 1.1787
B 4.3359 1.7094 1.1787
B 5.1283 4.3359 8.2506
B 5.1283 5.9207 3.5360
B 5.9207 1.7094 5.8933
Sb 0.0000 0.0000 4.7146
Sb 0.0000 3.4189 7.0720
Sb 3.4189 0.0000 2.3573
Sb 3.4189 3.4189 0.0000
```

9.
The following is a PBE calculation of an optimized crystal structure of ThMgCd2Hg2, from the Alexandria database.

VASP energy ... -10.8 eV/cell
Formation enthalpy at 0 K ... 0.11 eV/atom
SG ... No. 166

extended XYZ file:
```
6
Lattice="2.4968 1.4415 8.2665 -2.4968 1.4415 8.2665 0.0000 -2.8831 8.2665" Properties=species:S:1:pos:R:3 pbc="T T T"
Th 0.0000 0.0000 0.0000
Mg 0.0000 0.0000 12.3998
Cd 0.0000 0.0000 9.7007
Cd 0.0000 0.0000 15.0989
Hg 0.0000 0.0000 6.4117
Hg 0.0000 0.0000 18.3879
```

10.
The following is a PBE calculation of an optimized crystal structure of KNi3Ag, from the Alexandria database.

VASP energy ... -11.4 eV/cell
Formation enthalpy at 0 K ... 1.98 eV/atom
SG ... No. 221

extended XYZ file:
```
5
Lattice="4.4950 0.0000 0.0000 0.0000 4.4950 0.0000 0.0000 0.0000 4.4950" Properties=species:S:1:pos:R:3 pbc="T T T"
K 0.0000 0.0000 0.0000
Ni 0.0000 0.0000 2.2475
Ni 0.0000 2.2475 0.0000
Ni 2.2475 0.0000 0.0000
Ag 2.2475 2.2475 2.2475
```

11.
The following is a PBE calculation of an optimized crystal structure of SrMn2Zn2, from the Alexandria database.

VASP energy ... -42.5 eV/cell
Formation enthalpy at 0 K ... 0.26 eV/atom
SG ... No. 139

extended XYZ file:
```
10
Lattice="4.5859 0.0000 0.0000 0.0000 4.5859 0.0000 0.0000 0.0000 10.1607" Properties=species:S:1:pos:R:3 pbc="T T T"
Sr 0.0000 0.0000 0.0000
Sr 2.2930 2.2930 5.0803
Mn 0.0000 0.0000 3.7066
Mn 0.0000 0.0000 6.4541
Mn 2.2930 2.2930 1.3737
Mn 2.2930 2.2930 8.7870
Zn 0.0000 2.2930 2.5402
Zn 0.0000 2.2930 7.6205
Zn 2.2930 0.0000 2.5402
Zn 2.2930 0.0000 7.6205
```

12.
The following is a PBE calculation of an optimized crystal structure of Pr5SmTl2, from the Alexandria database.

VASP energy ... -68.6 eV/cell
Formation enthalpy at 0 K ... -0.12 eV/atom
SG ... No. 71

extended XYZ file:
```
16
Lattice="3.7609 0.0000 0.0000 0.0000 11.1593 0.0000 0.0000 0.0000 12.6779" Properties=species:S:1:pos:R:3 pbc="T T T"
Pr 0.0000 0.0000 0.0000
Pr 0.0000 3.1115 4.5780
Pr 0.0000 3.1115 8.1000
Pr 0.0000 8.0478 4.5780
Pr 0.0000 8.0478 8.1000
Pr 1.8804 2.4681 1.7610
Pr 1.8804 2.4681 10.9169
Pr 1.8804 5.5796 6.3390
Pr 1.8804 8.6911 1.7610
Pr 1.8804 8.6911 10.9169
Sm 0.0000 5.5796 0.0000
Sm 1.8804 0.0000 6.3390
Tl 0.0000 0.0000 3.4919
Tl 0.0000 0.0000 9.1860
Tl 1.8804 5.5796 2.8471
Tl 1.8804 5.5796 9.8308
```